# 1
! BaSc2Te | Alexandria | PBE | relaxed; values from VASP
&SYSTEM
  ibrav = 0, nat = 4, ntyp = 3
/
ATOMIC_SPECIES
Ba 137.33 Ba.upf
Sc 44.96 Sc.upf
Te 127.60 Te.upf
CELL_PARAMETERS angstrom
3.958 0.000 0.000
0.000 5.201 0.000
-1.061 0.000 6.128
ATOMIC_POSITIONS crystal
Ba 0.000 0.000 0.000
Sc 0.352 0.500 0.706
Sc 0.648 0.500 0.294
Te 0.500 0.000 0.500
! * formation energy without anion corrections: -261 meV per atom
! * crystal system: monoclinic
! * size of the total moment: 0.0 μB/cell
! * DOS(E_F): 1.37 states/eV/atom

---

# 2
! Ni4PH2 | Alexandria | PBE | relaxed; values from VASP
&SYSTEM
  ibrav = 0, nat = 14, ntyp = 3
/
ATOMIC_SPECIES
Ni 58.69 Ni.upf
P 30.97 P.upf
H 1.01 H.upf
CELL_PARAMETERS angstrom
1.459 -4.541 0.000
1.459 4.541 0.000
0.000 0.000 9.037
ATOMIC_POSITIONS crystal
Ni 0.000 0.000 0.000
Ni 0.000 0.000 0.500
Ni 0.279 0.721 0.611
Ni 0.279 0.721 0.889
Ni 0.413 0.587 0.250
Ni 0.587 0.413 0.750
Ni 0.721 0.279 0.111
Ni 0.721 0.279 0.389
P 0.100 0.900 0.250
P 0.900 0.100 0.750
H 0.374 0.626 0.052
H 0.374 0.626 0.448
H 0.626 0.374 0.552
H 0.626 0.374 0.948
! * crystal system: orthorhombic
! * size of the total moment: 0.0 μB/cell
! * raw total energy: -5.230 eV per atom
! * DOS(E_F): 0.66 states/eV/atom

---

# 3
! YZr2Co | Alexandria | PBE | relaxed; values from VASP
&SYSTEM
  ibrav = 0, nat = 4, ntyp = 3
/
ATOMIC_SPECIES
Y 88.91 Y.upf
Zr 91.22 Zr.upf
Co 58.93 Co.upf
CELL_PARAMETERS angstrom
0.000 3.426 3.426
3.426 0.000 3.426
3.426 3.426 0.000
ATOMIC_POSITIONS crystal
Y 0.000 0.000 0.000
Zr 0.250 0.250 0.250
Zr 0.750 0.750 0.750
Co 0.500 0.500 0.500
! * crystal system: cubic
! * ΔH_f (0 K): 296 meV per atom
! * size of the total moment: 0.0 μB/cell
! * DOS(E_F): 1.59 states/eV/atom

---

# 4
! NiOs2Br | Alexandria | PBE | relaxed; values from VASP
&SYSTEM
  ibrav = 0, nat = 4, ntyp = 3
/
ATOMIC_SPECIES
Ni 58.69 Ni.upf
Os 190.23 Os.upf
Br 79.90 Br.upf
CELL_PARAMETERS angstrom
2.817 0.000 0.000
0.000 3.502 0.000
-0.008 0.000 6.836
ATOMIC_POSITIONS crystal
Ni 0.000 0.000 0.000
Os 0.002 0.000 0.380
Os 0.501 0.500 0.203
Br 0.003 0.500 0.705
! * formation energy without anion corrections: 628 meV per atom
! * crystal system: monoclinic
! * size of the total moment: 0.0 μB/cell
! * DOS(E_F): 1.01 states/eV/atom